<a>
A plane-wave DFT calculation with PBE-GGA was carried out for a relaxed structure of LaVRu3.

a b c (Å): 4.7757 4.7757 4.7757
angles (deg): 90.00 90.00 90.00
With the nearest neighbours (Å) after each atom.
Fractional coordinates of all 5 atoms:
La: 0.0000 0.0000 0.0000  6 Ru 2.39
V: 0.5000 0.5000 0.5000  12 Ru 3.38
Ru: 0.0000 0.0000 0.5000  2 La 2.39
Ru: 0.0000 0.5000 0.0000  2 La 2.39
Ru: 0.5000 0.0000 0.0000  2 La 2.39

Output
Magnetic moment   0.20 μB per formula unit
SG   Pm-3m
N(E_F)   6.7 states/eV/cell



<b>
A plane-wave DFT calculation with PBE-GGA was carried out for a relaxed structure of LaVRu3.

a b c (Å): 4.5773 4.5773 4.5773
angles (deg): 90.00 90.00 90.00
With the nearest neighbours (Å) after each atom.
Fractional coordinates of all 5 atoms:
La: 0.0000 0.0000 0.0000  12 Ru 3.24
V: 0.5000 0.5000 0.5000  6 Ru 2.29
Ru: 0.0000 0.5000 0.5000  2 V 2.29
Ru: 0.5000 0.0000 0.5000  2 V 2.29
Ru: 0.5000 0.5000 0.0000  2 V 2.29

Output
Magnetic moment   0.00 μB per formula unit
SG   Pm-3m
N(E_F)   3.3 states/eV/cell



<b> ends up most stable, edging out the next structure by 1604 meV/atom.